Here is an optimized crystal structure of TcTeC3 from Alexandria via LeMat-Bulk. Energies are from PBE.

Calculated values
total DFT energy (no corrections) = -6.162 eV/atom
offset from the most stable computed form = 0 meV per atom
D(E_F) = 5.27 states/eV per cell
uncorrected formation energy = 2.0737 eV per atom

Unit cell a=4.1063 b=4.1063 c=4.1063 alpha=90.00 beta=90.00 gamma=90.00
Positions (direct):
C1 0.5000 0.0000 0.0000
C2 0.0000 0.5000 0.0000
C3 0.0000 0.0000 0.5000
Tc1 0.0000 0.0000 0.0000
Te1 0.5000 0.5000 0.5000